Entry 1:
The following is a PBE calculation of a geometry-optimized Ca4DyPa3N8 structure, from the Alexandria database.

a b c (Å): 7.015 7.015 7.015
angles (deg): 60.60 60.60 60.60
Sites, in units of the cell vectors:
Ca: 0.000 0.000 0.000
Ca: 0.000 0.500 0.500
Ca: 0.500 0.000 0.500
Ca: 0.500 0.500 0.000
Dy: 0.500 0.500 0.500
Pa: 0.000 0.000 0.500
Pa: 0.000 0.500 0.000
Pa: 0.500 0.000 0.000
N: 0.225 0.745 0.745
N: 0.239 0.239 0.239
N: 0.255 0.255 0.775
N: 0.255 0.775 0.255
N: 0.745 0.225 0.745
N: 0.745 0.745 0.225
N: 0.761 0.761 0.761
N: 0.775 0.255 0.255

Values from the calculation:
DFT total energy: -8.214 eV/atom



Entry 2:
The following is a PBE calculation of a geometry-optimized Ca2DyPuN4 structure, from the Alexandria database.

a b c (Å): 5.971 3.502 6.013
angles (deg): 90.00 108.73 90.00
Sites, in units of the cell vectors:
Ca: 0.000 0.000 0.000
Ca: 0.500 0.500 0.000
Dy: 0.000 0.500 0.500
Pu: 0.500 0.000 0.500
N: 0.265 0.000 0.713
N: 0.267 0.500 0.278
N: 0.733 0.500 0.722
N: 0.735 0.000 0.287

Values from the calculation:
DFT total energy: -8.298 eV/atom



Entry 3:
The following is a PBE calculation of a geometry-optimized Ca3Dy2PuN6 structure, from the Alexandria database.

a b c (Å): 6.005 6.005 6.038
angles (deg): 99.55 99.55 120.08
Sites, in units of the cell vectors:
Ca: 0.000 0.000 0.000
Ca: 0.334 0.666 0.000
Ca: 0.666 0.334 0.000
Dy: 0.167 0.833 0.500
Dy: 0.833 0.167 0.500
Pu: 0.500 0.500 0.500
N: 0.117 0.426 0.279
N: 0.267 0.267 0.713
N: 0.426 0.117 0.279
N: 0.574 0.883 0.721
N: 0.733 0.733 0.287
N: 0.883 0.574 0.721

Values from the calculation:
DFT total energy: -7.920 eV/atom